(1)
Material: MgAlTe
Method: DFT, GGA-PBE
State: optimized geometry

The structure in CIF format:
```
data_MgAlTe
_chemical_formula_sum 'Mg2 Al2 Te2'
_space_group_name_H-M_alt 'P 1'
_space_group_IT_number 1
_cell_length_a 4.112
_cell_length_b 4.112
_cell_length_c 8.450
_cell_angle_alpha 90.00
_cell_angle_beta 90.00
_cell_angle_gamma 90.00
loop_
_space_group_symop_operation_xyz
'x,y,z'
loop_
_atom_site_label
_atom_site_fract_x
_atom_site_fract_y
_atom_site_fract_z
Mg1 0.500 0.000 0.205
Mg2 0.000 0.500 0.795
Al1 0.000 0.000 0.500
Te1 0.500 0.000 0.833
Al2 0.500 0.500 0.500
Te2 0.000 0.500 0.167
```

Calculated values
Calculated total energy, eV/atom: -3.085
Volume, Å³/atom: 23.81
Formation energy (no corrections), kJ/mol of formula units: -75
ΔE to the lowest computed polymorph, eV/atom: 0.0000


(2)
Material: Sc8Te
Method: DFT, GGA-PBE
State: optimized geometry

The structure in CIF format:
```
data_Sc8Te
_chemical_formula_sum 'Sc8 Te1'
_space_group_name_H-M_alt 'P 1'
_space_group_IT_number 1
_cell_length_a 7.311
_cell_length_b 7.311
_cell_length_c 7.311
_cell_angle_alpha 95.20
_cell_angle_beta 95.20
_cell_angle_gamma 144.95
loop_
_space_group_symop_operation_xyz
'x,y,z'
loop_
_atom_site_label
_atom_site_fract_x
_atom_site_fract_y
_atom_site_fract_z
Te1 0.000 0.000 0.000
Sc1 0.000 0.336 0.336
Sc2 0.335 0.665 0.000
Sc3 0.335 0.335 0.670
Sc4 0.000 0.664 0.664
Sc5 0.665 0.335 0.000
Sc6 0.665 0.665 0.330
Sc7 0.664 0.000 0.664
Sc8 0.336 0.000 0.336
```

Calculated values
Calculated total energy, eV/atom: -6.159
Volume, Å³/atom: 23.78
Formation energy (no corrections), kJ/mol of formula units: -158


(3)
Material: Ba2Cd2Hg
Method: DFT, GGA-PBE
State: optimized geometry

The structure in CIF format:
```
data_Ba2Cd2Hg
_chemical_formula_sum 'Ba2 Cd2 Hg1'
_space_group_name_H-M_alt 'P 1'
_space_group_IT_number 1
_cell_length_a 6.724
_cell_length_b 6.724
_cell_length_c 6.510
_cell_angle_alpha 58.91
_cell_angle_beta 58.91
_cell_angle_gamma 90.00
loop_
_space_group_symop_operation_xyz
'x,y,z'
loop_
_atom_site_label
_atom_site_fract_x
_atom_site_fract_y
_atom_site_fract_z
Ba1 0.750 0.250 0.500
Ba2 0.250 0.750 0.500
Cd1 0.347 0.347 0.306
Cd2 0.653 0.653 0.694
Hg1 0.000 0.000 0.000
```

Calculated values
Calculated total energy, eV/atom: -1.367
Volume, Å³/atom: 40.21
ΔE to the lowest computed polymorph, eV/atom: 0.1910
Energy of formation, eV/atom: -0.1713